[1]
# GGA-PBE ZrPb, optimized geometry
data_ZrPb
_chemical_formula_sum 'Zr8 Pb8'
_cell_length_a 5.383
_cell_length_b 6.173
_cell_length_c 11.907
_cell_angle_alpha 90.00
_cell_angle_beta 90.00
_cell_angle_gamma 90.00
_symmetry_space_group_name_H-M 'P 1'
_symmetry_Int_Tables_number 1
_symmetry_space_group_name_Hall 'P 1'
loop_
_atom_site_label
_atom_site_type_symbol
_atom_site_fract_x
_atom_site_fract_y
_atom_site_fract_z
_atom_site_occupancy
Zr1 Zr 0.250 0.000 0.072 1
Zr2 Zr 0.250 0.250 0.320 1
Zr3 Zr 0.250 0.250 0.823 1
Zr4 Zr 0.250 0.500 0.072 1
Zr5 Zr 0.750 0.000 0.928 1
Zr6 Zr 0.750 0.500 0.928 1
Zr7 Zr 0.750 0.750 0.177 1
Zr8 Zr 0.750 0.750 0.680 1
Pb1 Pb 0.250 0.502 0.573 1
Pb2 Pb 0.250 0.750 0.298 1
Pb3 Pb 0.250 0.750 0.844 1
Pb4 Pb 0.250 0.998 0.573 1
Pb5 Pb 0.750 0.002 0.427 1
Pb6 Pb 0.750 0.250 0.156 1
Pb7 Pb 0.750 0.250 0.702 1
Pb8 Pb 0.750 0.498 0.427 1
# - total moment (μB/cell) = 0.0
# - total energy (eV/atom) = -6.1590
# - space-group type = No. 59
# - crystal system = orthorhombic

---

[2]
# GGA-PBE PmB4As, optimized geometry
data_PmB4As
_chemical_formula_sum 'Pm1 B4 As1'
_cell_length_a 3.186
_cell_length_b 3.186
_cell_length_c 7.861
_cell_angle_alpha 90.00
_cell_angle_beta 90.00
_cell_angle_gamma 120.00
_symmetry_space_group_name_H-M 'P 1'
_symmetry_Int_Tables_number 1
_symmetry_space_group_name_Hall 'P 1'
loop_
_atom_site_label
_atom_site_type_symbol
_atom_site_fract_x
_atom_site_fract_y
_atom_site_fract_z
_atom_site_occupancy
Pm1 Pm 0.000 0.000 0.000 1
B1 B 0.333 0.667 0.265 1
B2 B 0.333 0.667 0.735 1
B3 B 0.667 0.333 0.265 1
B4 B 0.667 0.333 0.735 1
As1 As 0.000 0.000 0.500 1
# - total moment (μB/cell) = 0.0
# - total energy (eV/atom) = -5.8413
# - space-group type = No. 191
# - polymorph energy (0 for the lowest one) (meV per atom) = 168
# - crystal system = hexagonal

---

[3]
# GGA-PBE K2Ir2O5, optimized geometry
data_K2Ir2O5
_chemical_formula_sum 'K2 Ir2 O5'
_cell_length_a 4.999
_cell_length_b 5.014
_cell_length_c 6.321
_cell_angle_alpha 96.83
_cell_angle_beta 110.51
_cell_angle_gamma 108.26
_symmetry_space_group_name_H-M 'P 1'
_symmetry_Int_Tables_number 1
_symmetry_space_group_name_Hall 'P 1'
loop_
_atom_site_label
_atom_site_type_symbol
_atom_site_fract_x
_atom_site_fract_y
_atom_site_fract_z
_atom_site_occupancy
K1 K 0.000 0.000 0.000 1
K2 K 0.475 0.648 0.168 1
Ir1 Ir 0.046 0.499 0.598 1
Ir2 Ir 0.411 0.139 0.604 1
O1 O 0.042 0.787 0.405 1
O2 O 0.266 0.395 0.425 1
O3 O 0.400 0.879 0.809 1
O4 O 0.644 0.175 0.402 1
O5 O 0.842 0.442 0.811 1
# - total moment (μB/cell) = 0.0
# - total energy (eV/atom) = -5.8643
# - space-group type = No. 1
# - polymorph energy (0 for the lowest one) (meV per atom) = 0
# - crystal system = triclinic

---

[4]
# GGA-PBE NdDyCF2, optimized geometry
data_NdDyCF2
_chemical_formula_sum 'Nd1 Dy1 C1 F2'
_cell_length_a 3.714
_cell_length_b 3.714
_cell_length_c 6.450
_cell_angle_alpha 90.00
_cell_angle_beta 90.00
_cell_angle_gamma 120.00
_symmetry_space_group_name_H-M 'P 1'
_symmetry_Int_Tables_number 1
_symmetry_space_group_name_Hall 'P 1'
loop_
_atom_site_label
_atom_site_type_symbol
_atom_site_fract_x
_atom_site_fract_y
_atom_site_fract_z
_atom_site_occupancy
Nd1 Nd 0.000 0.000 0.000 1
Dy1 Dy 0.333 0.667 0.569 1
C1 C 0.667 0.333 0.781 1
F1 F 0.000 0.000 0.415 1
F2 F 0.333 0.667 0.193 1
# - total moment (μB/cell) = 0.0
# - total energy (eV/atom) = -6.8007
# - space-group type = No. 156
# - crystal system = trigonal

---

[5]
# GGA-PBE Ho2Sc2CI3Cl2, optimized geometry
data_Ho2Sc2CI3Cl2
_chemical_formula_sum 'Ho2 Sc2 C1 I3 Cl2'
_cell_length_a 9.985
_cell_length_b 9.985
_cell_length_c 8.425
_cell_angle_alpha 101.78
_cell_angle_beta 101.78
_cell_angle_gamma 21.82
_symmetry_space_group_name_H-M 'P 1'
_symmetry_Int_Tables_number 1
_symmetry_space_group_name_Hall 'P 1'
loop_
_atom_site_label
_atom_site_type_symbol
_atom_site_fract_x
_atom_site_fract_y
_atom_site_fract_z
_atom_site_occupancy
Ho1 Ho 0.001 0.001 0.309 1
Ho2 Ho 0.999 0.999 0.691 1
Sc1 Sc 0.384 0.384 0.433 1
Sc2 Sc 0.616 0.616 0.567 1
C1 C 0.500 0.500 0.500 1
I1 I 0.161 0.161 0.343 1
I2 I 0.500 0.500 0.000 1
I3 I 0.839 0.839 0.657 1
Cl1 Cl 0.142 0.142 0.786 1
Cl2 Cl 0.858 0.858 0.214 1
# - total moment (μB/cell) = 0.2
# - total energy (eV/atom) = -5.2482
# - space-group type = No. 12
# - polymorph energy (0 for the lowest one) (meV per atom) = 0
# - crystal system = monoclinic

---

[6]
# GGA-PBE ZnFeNiW, optimized geometry
data_ZnFeNiW
_chemical_formula_sum 'Zn1 Fe1 Ni1 W1'
_cell_length_a 4.188
_cell_length_b 4.188
_cell_length_c 4.188
_cell_angle_alpha 60.00
_cell_angle_beta 60.00
_cell_angle_gamma 60.00
_symmetry_space_group_name_H-M 'P 1'
_symmetry_Int_Tables_number 1
_symmetry_space_group_name_Hall 'P 1'
loop_
_atom_site_label
_atom_site_type_symbol
_atom_site_fract_x
_atom_site_fract_y
_atom_site_fract_z
_atom_site_occupancy
Zn1 Zn 0.000 0.000 0.000 1
Fe1 Fe 0.250 0.250 0.250 1
Ni1 Ni 0.500 0.500 0.500 1
W1 W 0.750 0.750 0.750 1
# - total moment (μB/cell) = 2.1
# - total energy (eV/atom) = -6.7200
# - space-group type = No. 216
# - formation energy (eV per atom) = 0.31
# - polymorph energy (0 for the lowest one) (meV per atom) = 226
# - crystal system = cubic

---

[7]
# GGA-PBE NbCoNiB, optimized geometry
data_NbCoNiB
_chemical_formula_sum 'Nb1 Co1 Ni1 B1'
_cell_length_a 4.014
_cell_length_b 4.014
_cell_length_c 4.014
_cell_angle_alpha 60.00
_cell_angle_beta 60.00
_cell_angle_gamma 60.00
_symmetry_space_group_name_H-M 'P 1'
_symmetry_Int_Tables_number 1
_symmetry_space_group_name_Hall 'P 1'
loop_
_atom_site_label
_atom_site_type_symbol
_atom_site_fract_x
_atom_site_fract_y
_atom_site_fract_z
_atom_site_occupancy
Nb1 Nb 0.000 0.000 0.000 1
Co1 Co 0.750 0.750 0.750 1
Ni1 Ni 0.250 0.250 0.250 1
B1 B 0.500 0.500 0.500 1
# - total moment (μB/cell) = 0.5
# - total energy (eV/atom) = -7.1832
# - space-group type = No. 216
# - polymorph energy (0 for the lowest one) (meV per atom) = 99
# - crystal system = cubic

---

[8]
# GGA-PBE Zn2Te, optimized geometry
data_Zn2Te
_chemical_formula_sum 'Zn4 Te2'
_cell_length_a 6.179
_cell_length_b 6.179
_cell_length_c 3.910
_cell_angle_alpha 90.00
_cell_angle_beta 90.00
_cell_angle_gamma 120.00
_symmetry_space_group_name_H-M 'P 1'
_symmetry_Int_Tables_number 1
_symmetry_space_group_name_Hall 'P 1'
loop_
_atom_site_label
_atom_site_type_symbol
_atom_site_fract_x
_atom_site_fract_y
_atom_site_fract_z
_atom_site_occupancy
Zn1 Zn 0.000 0.000 0.000 1
Zn2 Zn 0.000 0.294 0.500 1
Zn3 Zn 0.294 0.000 0.500 1
Zn4 Zn 0.706 0.706 0.500 1
Te1 Te 0.333 0.667 0.000 1
Te2 Te 0.667 0.333 0.000 1
# - total energy (eV/atom) = -1.7885
# - space-group type = No. 189
# - polymorph energy (0 for the lowest one) (meV per atom) = 133
# - crystal system = hexagonal

---

[9]
# GGA-PBE PuAlCd, optimized geometry
data_PuAlCd
_chemical_formula_sum 'Pu1 Al1 Cd1'
_cell_length_a 4.698
_cell_length_b 4.698
_cell_length_c 4.698
_cell_angle_alpha 60.00
_cell_angle_beta 60.00
_cell_angle_gamma 60.00
_symmetry_space_group_name_H-M 'P 1'
_symmetry_Int_Tables_number 1
_symmetry_space_group_name_Hall 'P 1'
loop_
_atom_site_label
_atom_site_type_symbol
_atom_site_fract_x
_atom_site_fract_y
_atom_site_fract_z
_atom_site_occupancy
Pu1 Pu 0.000 0.000 0.000 1
Al1 Al 0.750 0.750 0.750 1
Cd1 Cd 0.250 0.250 0.250 1
# - total moment (μB/cell) = 5.8
# - total energy (eV/atom) = -5.6389
# - space-group type = No. 216
# - crystal system = cubic

---

[10]
# GGA-PBE SmPIrO, optimized geometry
data_SmPIrO
_chemical_formula_sum 'Sm2 P2 Ir2 O2'
_cell_length_a 3.209
_cell_length_b 7.959
_cell_length_c 5.179
_cell_angle_alpha 90.00
_cell_angle_beta 90.00
_cell_angle_gamma 90.00
_symmetry_space_group_name_H-M 'P 1'
_symmetry_Int_Tables_number 1
_symmetry_space_group_name_Hall 'P 1'
loop_
_atom_site_label
_atom_site_type_symbol
_atom_site_fract_x
_atom_site_fract_y
_atom_site_fract_z
_atom_site_occupancy
Sm1 Sm 0.000 0.148 0.000 1
Sm2 Sm 0.000 0.852 0.500 1
P1 P 0.000 0.466 0.406 1
P2 P 0.000 0.534 0.906 1
Ir1 Ir 0.500 0.271 0.482 1
Ir2 Ir 0.500 0.729 0.982 1
O1 O 0.500 0.044 0.689 1
O2 O 0.500 0.956 0.189 1
# - total moment (μB/cell) = 0.0
# - total energy (eV/atom) = -7.2826
# - space-group type = No. 26
# - polymorph energy (0 for the lowest one) (meV per atom) = 647
# - crystal system = orthorhombic

---

What did the tenth record say?
# GGA-PBE SmPIrO, optimized geometry
data_SmPIrO
_chemical_formula_sum 'Sm2 P2 Ir2 O2'
_cell_length_a 3.209
_cell_length_b 7.959
_cell_length_c 5.179
_cell_angle_alpha 90.00
_cell_angle_beta 90.00
_cell_angle_gamma 90.00
_symmetry_space_group_name_H-M 'P 1'
_symmetry_Int_Tables_number 1
_symmetry_space_group_name_Hall 'P 1'
loop_
_atom_site_label
_atom_site_type_symbol
_atom_site_fract_x
_atom_site_fract_y
_atom_site_fract_z
_atom_site_occupancy
Sm1 Sm 0.000 0.148 0.000 1
Sm2 Sm 0.000 0.852 0.500 1
P1 P 0.000 0.466 0.406 1
P2 P 0.000 0.534 0.906 1
Ir1 Ir 0.500 0.271 0.482 1
Ir2 Ir 0.500 0.729 0.982 1
O1 O 0.500 0.044 0.689 1
O2 O 0.500 0.956 0.189 1
# - total moment (μB/cell) = 0.0
# - total energy (eV/atom) = -7.2826
# - space-group type = No. 26
# - polymorph energy (0 for the lowest one) (meV per atom) = 647
# - crystal system = orthorhombic

---

Look up the total energy of the fifth one. -5.2482 eV/atom